First-principles (PBE) data for a relaxed structure of NbW2I, as listed in the Alexandria database.

The space group is No. 225. The crystal system is cubic. As for the uncorrected formation energy: 1.115 eV per atom. Its relative energy among the computed polymorphs is 0.000 kcal/mol of atoms.

Lattice parameters (Å, degrees): 4.6878 4.6878 4.6878 60.00 60.00 60.00
With the nearest neighbours (Å) after each atom.
Atoms (fractional coordinates):
I: 0.5000 0.5000 0.5000  8 W 2.87
Nb: 0.0000 0.0000 0.0000  8 W 2.87
W: 0.2500 0.2500 0.2500  4 I 2.87, 4 Nb 2.87
W: 0.7500 0.7500 0.7500  4 I 2.87, 4 Nb 2.87

---

First-principles (PBE) data for a relaxed structure of Ce2BiN, as listed in the Alexandria database.

The space group is No. 166. The crystal system is trigonal. As for the uncorrected formation energy: -0.757 eV per atom. Its relative energy among the computed polymorphs is 8.901 kcal/mol of atoms.

Lattice parameters (Å, degrees): 3.4904 3.4904 9.6442 79.57 79.57 60.00
With the nearest neighbours (Å) after each atom.
Atoms (fractional coordinates):
Bi: 0.0000 0.0000 0.0000  2 Ce 3.30, 6 Bi 3.49
Ce: 0.1167 0.1167 0.6498  3 N 2.46
Ce: 0.8833 0.8833 0.3502  3 N 2.46
N: 0.5000 0.5000 0.5000  6 Ce 2.46

---

First-principles (PBE) data for a relaxed structure of PaTiCr2, as listed in the Alexandria database.

The formation energy comes out at 0.4 eV per formula unit. The space group is No. 225. The crystal system is cubic.

Lattice parameters (Å, degrees): 4.4741 4.4741 4.4741 60.00 60.00 60.00
With the nearest neighbours (Å) after each atom.
Atoms (fractional coordinates):
Cr: 0.2500 0.2500 0.2500  4 Ti 2.74, 4 Pa 2.74
Cr: 0.7500 0.7500 0.7500  4 Pa 2.74, 4 Ti 2.74
Pa: 0.0000 0.0000 0.0000  8 Cr 2.74
Ti: 0.5000 0.5000 0.5000  8 Cr 2.74

---

First-principles (PBE) data for a relaxed structure of SbTeSe, as listed in the Alexandria database.

The space group is No. 84. The crystal system is tetragonal. As for the uncorrected formation energy: 0.040 eV per atom. Its relative energy among the computed polymorphs is 3.894 kcal/mol of atoms.

Lattice parameters (Å, degrees): 4.1302 9.7839 9.7839 90.00 90.00 90.00
With the nearest neighbours (Å) after each atom.
Atoms (fractional coordinates):
Sb: 0.5000 0.7932 0.2557  3 Se 2.71-2.82
Sb: 0.5000 0.2068 0.7443  3 Se 2.71-2.82
Sb: 0.0000 0.2557 0.2068  3 Se 2.71-2.82
Sb: 0.0000 0.7443 0.7932  3 Se 2.71-2.82
Te: 0.5000 0.6967 0.5685  3 Sb 3.05-3.20
Te: 0.0000 0.4315 0.6967  3 Sb 3.05-3.20
Te: 0.0000 0.5685 0.3033  3 Sb 3.05-3.20
Te: 0.5000 0.3033 0.4315  3 Sb 3.05-3.20
Se: 0.5000 0.2773 0.0119  3 Sb 2.71-2.82
Se: 0.0000 0.9881 0.2773  3 Sb 2.71-2.82
Se: 0.0000 0.0119 0.7227  3 Sb 2.71-2.82
Se: 0.5000 0.7227 0.9881  3 Sb 2.71-2.82

---

First-principles (PBE) data for a relaxed structure of FeHg2Sb2, as listed in the Alexandria database.

The space group is No. 127. The crystal system is tetragonal. As for the uncorrected formation energy: 0.280 eV per atom.

Lattice parameters (Å, degrees): 6.6859 6.6859 5.6385 90.00 90.00 90.00
With the nearest neighbours (Å) after each atom.
Atoms (fractional coordinates):
Sb: 0.3441 0.8441 0.0000  2 Fe 2.53
Sb: 0.8441 0.6559 0.0000  2 Fe 2.53
Sb: 0.6559 0.1559 0.0000  2 Fe 2.53
Sb: 0.1559 0.3441 0.0000  2 Fe 2.53
Hg: 0.1891 0.6891 0.5000  2 Sb 3.18, 4 Hg 3.44
Hg: 0.6891 0.8109 0.5000  2 Sb 3.18, 4 Hg 3.44
Hg: 0.8109 0.3109 0.5000  2 Sb 3.18, 4 Hg 3.44
Hg: 0.3109 0.1891 0.5000  2 Sb 3.18, 4 Hg 3.44
Fe: 0.0000 0.0000 0.0000  4 Sb 2.53
Fe: 0.5000 0.5000 0.0000  4 Sb 2.53

---

First-principles (PBE) data for a relaxed structure of YCuTeN2, as listed in the Alexandria database.

The space group is No. 123. The crystal system is tetragonal. As for the uncorrected formation energy: 0.804 eV per atom. Its relative energy among the computed polymorphs is 0.000 kcal/mol of atoms.

Lattice parameters (Å, degrees): 4.1529 4.1529 4.9548 90.00 90.00 90.00
With the nearest neighbours (Å) after each atom.
Atoms (fractional coordinates):
Y: 0.5000 0.5000 0.5000  4 Te 2.94, 8 N 3.23
Te: 0.0000 0.0000 0.5000  2 Cu 2.48
Cu: 0.0000 0.0000 0.0000  4 N 2.08
N: 0.0000 0.5000 0.0000  2 Cu 2.08
N: 0.5000 0.0000 0.0000  2 Cu 2.08

---

First-principles (PBE) data for a relaxed structure of LaGeSb2As, as listed in the Alexandria database.

The space group is No. 123. The crystal system is tetragonal. As for the uncorrected formation energy: -0.003 eV per atom.

Lattice parameters (Å, degrees): 5.4964 5.1378 5.4964 90.00 90.00 90.00
With the nearest neighbours (Å) after each atom.
Atoms (fractional coordinates):
Sb: 0.0000 0.0000 0.5000  2 Ge 2.75
Sb: 0.5000 0.0000 0.0000  2 Ge 2.75
As: 0.0000 0.5000 0.0000  2 Ge 2.57
Ge: 0.0000 0.0000 0.0000  2 As 2.57, 4 Sb 2.75
La: 0.5000 0.5000 0.5000  8 Sb 3.76, 4 As 3.89

---

First-principles (PBE) data for a relaxed structure of Hf2Zn2Fe, as listed in the Alexandria database.

The formation energy comes out at 2.2 eV per formula unit. The space group is No. 127. The crystal system is tetragonal. Its relative energy among the computed polymorphs is 9.457 kcal/mol of atoms.

Lattice parameters (Å, degrees): 7.3245 7.3245 3.3315 90.00 90.00 90.00
With the nearest neighbours (Å) after each atom.
Atoms (fractional coordinates):
Zn: 0.1196 0.6196 0.5000  1 Zn 2.48, 2 Hf 2.65
Zn: 0.6196 0.8804 0.5000  1 Zn 2.48, 2 Hf 2.65
Zn: 0.8804 0.3804 0.5000  1 Zn 2.48, 2 Hf 2.65
Zn: 0.3804 0.1196 0.5000  1 Zn 2.48, 2 Hf 2.65
Hf: 0.3184 0.8184 0.0000  6 Zn 2.65-2.80, 2 Fe 2.68
Hf: 0.8184 0.6816 0.0000  6 Zn 2.65-2.80, 2 Fe 2.68
Hf: 0.6816 0.1816 0.0000  6 Zn 2.65-2.80, 2 Fe 2.68
Hf: 0.1816 0.3184 0.0000  6 Zn 2.65-2.80, 2 Fe 2.68
Fe: 0.0000 0.0000 0.0000  4 Hf 2.68
Fe: 0.5000 0.5000 0.0000  4 Hf 2.68

---

First-principles (PBE) data for a relaxed structure of K2AcZnF6, as listed in the Alexandria database.

The space group is No. 59. The crystal system is orthorhombic. As for the uncorrected formation energy: -2.876 eV per atom.

Lattice parameters (Å, degrees): 6.5898 7.6900 8.9438 90.00 90.00 90.00
With the nearest neighbours (Å) after each atom.
Atoms (fractional coordinates):
K: 0.5000 0.8797 0.2609  3 F 2.66-2.70
K: 0.0000 0.1203 0.7609  3 F 2.66-2.70
K: 0.5000 0.8797 0.7391  3 F 2.66-2.70
K: 0.0000 0.1203 0.2391  3 F 2.66-2.70
Ac: 0.0000 0.6684 0.5000  6 F 2.39-2.43
Ac: 0.5000 0.3316 0.0000  6 F 2.39-2.43
Zn: 0.5000 0.2722 0.5000  4 F 2.08-2.21
Zn: 0.0000 0.7278 0.0000  4 F 2.08-2.21
F: 0.5000 0.2309 0.2555  1 Zn 2.21, 1 Ac 2.41
F: 0.5000 0.2309 0.7445  1 Zn 2.21, 1 Ac 2.41
F: 0.0000 0.7691 0.2445  1 Zn 2.21, 1 Ac 2.41
F: 0.0000 0.7691 0.7555  1 Zn 2.21, 1 Ac 2.41
F: 0.2600 0.8855 0.5000  1 Ac 2.39, 2 K 2.66
F: 0.7400 0.8855 0.5000  1 Ac 2.39, 2 K 2.66
F: 0.2496 0.4361 0.5000  1 Zn 2.08
F: 0.7504 0.4361 0.5000  1 Zn 2.08
F: 0.7496 0.5639 0.0000  1 Zn 2.08
F: 0.2504 0.5639 0.0000  1 Zn 2.08
F: 0.2400 0.1145 0.0000  1 Ac 2.39, 2 K 2.66
F: 0.7600 0.1145 0.0000  1 Ac 2.39, 2 K 2.66

---

First-principles (PBE) data for a relaxed structure of SrTlAgGe2, as listed in the Alexandria database.

The formation energy comes out at 4.5 eV per formula unit. The space group is No. 123. The crystal system is tetragonal.

Lattice parameters (Å, degrees): 5.7697 5.7656 5.7697 90.00 90.00 90.00
With the nearest neighbours (Å) after each atom.
Atoms (fractional coordinates):
Sr: 0.0000 0.0000 0.0000  2 Ag 2.88, 4 Ge 2.88
Tl: 0.5000 0.5000 0.5000  8 Ge 4.08, 4 Ag 4.08
Ge: 0.0000 0.0000 0.5000  2 Sr 2.88
Ge: 0.5000 0.0000 0.0000  2 Sr 2.88
Ag: 0.0000 0.5000 0.0000  2 Sr 2.88

---

Repeat the fourth record exactly.
First-principles (PBE) data for a relaxed structure of SbTeSe, as listed in the Alexandria database.

The space group is No. 84. The crystal system is tetragonal. As for the uncorrected formation energy: 0.040 eV per atom. Its relative energy among the computed polymorphs is 3.894 kcal/mol of atoms.

Lattice parameters (Å, degrees): 4.1302 9.7839 9.7839 90.00 90.00 90.00
With the nearest neighbours (Å) after each atom.
Atoms (fractional coordinates):
Sb: 0.5000 0.7932 0.2557  3 Se 2.71-2.82
Sb: 0.5000 0.2068 0.7443  3 Se 2.71-2.82
Sb: 0.0000 0.2557 0.2068  3 Se 2.71-2.82
Sb: 0.0000 0.7443 0.7932  3 Se 2.71-2.82
Te: 0.5000 0.6967 0.5685  3 Sb 3.05-3.20
Te: 0.0000 0.4315 0.6967  3 Sb 3.05-3.20
Te: 0.0000 0.5685 0.3033  3 Sb 3.05-3.20
Te: 0.5000 0.3033 0.4315  3 Sb 3.05-3.20
Se: 0.5000 0.2773 0.0119  3 Sb 2.71-2.82
Se: 0.0000 0.9881 0.2773  3 Sb 2.71-2.82
Se: 0.0000 0.0119 0.7227  3 Sb 2.71-2.82
Se: 0.5000 0.7227 0.9881  3 Sb 2.71-2.82